Below is TaBiSbI2 at its PBEsol-relaxed geometry, with properties calculated at the SCAN level.

Calculated values
Energy relative to the elements, uncorrected ... 0.628 eV per atom
Uncorrected energy ... -252.8 eV per cell
Calculated density ... 8.106 Mg/m³
Space-group type ... P4/mmm (123)
N(E_F) ... 5.30 states/eV/f.u.
Magnetization ... 0.210 μB/atom

Cell and atoms, written as POSCAR:
```
TaBiSbI2
1.0
5.2976 0.0000 0.0000
0.0000 5.2976 0.0000
0.0000 0.0000 5.5880
Ta Bi Sb I
1 1 1 2
direct
0.0000 0.0000 0.0000
0.5000 0.5000 0.5000
0.0000 0.0000 0.5000
0.0000 0.5000 0.0000
0.5000 0.0000 0.0000
```

Below is Sc2BiI at its PBEsol-relaxed geometry, with properties calculated at the SCAN level.

Calculated values
Energy relative to the elements, uncorrected ... -0.565 eV per atom
Uncorrected energy ... -146.1 eV per cell
Calculated density ... 4.962 Mg/m³
Space-group type ... R-3m (166)
N(E_F) ... 2.24 states/eV/f.u.
Magnetization ... 0.000 μB/atom

Cell and atoms, written as POSCAR:
```
Sc2BiI
1.0
2.2757 1.3139 7.9420
-2.2757 1.3139 7.9420
0.0000 -2.6278 7.9420
Sc Bi I
2 1 1
direct
0.1174 0.1174 0.1174
0.8826 0.8826 0.8826
0.5000 0.5000 0.5000
0.0000 0.0000 0.0000
```

Below is ScBi3I at its PBEsol-relaxed geometry, with properties calculated at the SCAN level.

Calculated values
Energy relative to the elements, uncorrected ... 0.159 eV per atom
Uncorrected energy ... -285.9 eV per cell
Calculated density ... 7.774 Mg/m³
Space-group type ... Pm-3m (221)
Distance to the lowest polymorph of the same formula ... 0 meV/atom
N(E_F) ... 4.96 states/eV/f.u.
Magnetization ... 0.000 μB/atom

Cell and atoms, written as POSCAR:
```
ScBi3I
1.0
5.5465 0.0000 0.0000
0.0000 5.5465 0.0000
0.0000 0.0000 5.5465
Sc Bi I
1 3 1
direct
0.0000 0.0000 0.0000
0.0000 0.0000 0.5000
0.0000 0.5000 0.0000
0.5000 0.0000 0.0000
0.5000 0.5000 0.5000
```

Below is ScBi3I at its PBEsol-relaxed geometry, with properties calculated at the SCAN level.

Calculated values
Energy relative to the elements, uncorrected ... 1.029 eV per atom
Uncorrected energy ... -281.6 eV per cell
Calculated density ... 6.894 Mg/m³
Space-group type ... Pm-3m (221)
Distance to the lowest polymorph of the same formula ... 870 meV/atom
N(E_F) ... 6.48 states/eV/f.u.
Magnetization ... 0.000 μB/atom

Cell and atoms, written as POSCAR:
```
ScBi3I
1.0
5.7731 0.0000 0.0000
0.0000 5.7731 0.0000
0.0000 0.0000 5.7731
Sc Bi I
1 3 1
direct
0.0000 0.0000 0.0000
0.0000 0.5000 0.5000
0.5000 0.0000 0.5000
0.5000 0.5000 0.0000
0.5000 0.5000 0.5000
```

Below is BiSeI at its PBEsol-relaxed geometry, with properties calculated at the SCAN level.

Calculated values
Energy relative to the elements, uncorrected ... -0.348 eV per atom
Uncorrected energy ... -545.8 eV per cell
Calculated density ... 7.189 Mg/m³
Space-group type ... Pnma (62)
N(E_F) ... 0.00 states/eV/f.u.
Magnetization ... 0.000 μB/atom

Cell and atoms, written as POSCAR:
```
BiSeI
1.0
8.6135 0.0000 0.0000
0.0000 4.1818 0.0000
0.0000 0.0000 10.6415
Bi Se I
4 4 4
direct
0.1302 0.2500 0.1288
0.3698 0.7500 0.6288
0.6302 0.2500 0.3712
0.8698 0.7500 0.8712
0.1730 0.7500 0.9501
0.3270 0.2500 0.4501
0.6730 0.7500 0.5499
0.8270 0.2500 0.0499
0.0203 0.2500 0.6752
0.4797 0.7500 0.1752
0.5203 0.2500 0.8248
0.9797 0.7500 0.3248
```

Below is Sn2Bi2I at its PBEsol-relaxed geometry, with properties calculated at the SCAN level.

Calculated values
Energy relative to the elements, uncorrected ... -0.029 eV per atom
Uncorrected energy ... -265.9 eV per cell
Calculated density ... 7.767 Mg/m³
Space-group type ... I4/mmm (139)
N(E_F) ... 0.90 states/eV/f.u.
Magnetization ... 0.000 μB/atom

Cell and atoms, written as POSCAR:
```
Sn2Bi2I
1.0
-2.3798 2.3798 7.3825
2.3798 -2.3798 7.3825
2.3798 2.3798 -7.3825
Sn Bi I
2 2 1
direct
0.2500 0.7500 0.5000
0.7500 0.2500 0.5000
0.1199 0.1199 0.0000
0.8801 0.8801 0.0000
0.5000 0.5000 0.0000
```

Below is SrBi3I at its PBEsol-relaxed geometry, with properties calculated at the SCAN level.

Calculated values
Energy relative to the elements, uncorrected ... 0.725 eV per atom
Uncorrected energy ... -291.1 eV per cell
Calculated density ... 6.307 Mg/m³
Space-group type ... Pm-3m (221)
N(E_F) ... 7.98 states/eV/f.u.
Magnetization ... 0.000 μB/atom

Cell and atoms, written as POSCAR:
```
SrBi3I
1.0
6.0510 0.0000 0.0000
0.0000 6.0510 0.0000
0.0000 0.0000 6.0510
Sr Bi I
1 3 1
direct
0.0000 0.0000 0.0000
0.0000 0.0000 0.5000
0.0000 0.5000 0.0000
0.5000 0.0000 0.0000
0.5000 0.5000 0.5000
```

Below is TaBiI3 at its PBEsol-relaxed geometry, with properties calculated at the SCAN level.

Calculated values
Energy relative to the elements, uncorrected ... 0.586 eV per atom
Uncorrected energy ... -252.5 eV per cell
Calculated density ... 8.007 Mg/m³
Space-group type ... Pm-3m (221)
N(E_F) ... 4.05 states/eV/f.u.
Magnetization ... 0.395 μB/atom

Cell and atoms, written as POSCAR:
```
TaBiI3
1.0
5.4269 0.0000 0.0000
0.0000 5.4269 0.0000
0.0000 0.0000 5.4269
Ta Bi I
1 1 3
direct
0.0000 0.0000 0.0000
0.5000 0.5000 0.5000
0.0000 0.0000 0.5000
0.0000 0.5000 0.0000
0.5000 0.0000 0.0000
```